Density functional theory data (PBE) for a relaxed structure of Dy2CdIr.

The distance to the lowest polymorph of the same formula comes out at 2.801 kcal/mol of atoms. The calculation puts the energy at -5.2446 eV/atom. As for the formation energy from the elements: -2.0 eV per formula unit. The value obtained for the total magnetic moment is 0.00 Bohr magnetons per cell. The volume comes out at 108.7 Å³/f.u.

The structure belongs to space group R-3m (No. 166, hexagonal axes); the cell edges are 4.0113, 4.0113 and 23.4020 Å and the angles 90.00°, 90.00° and 120.00°. The asymmetric unit holds Dy at (0.0000, 0.0000, 0.2312), Cd at (0.0000, 0.0000, 0.0000) and Ir at (0.0000, 0.0000, 0.5000).



Density functional theory data (PBE) for a relaxed structure of Dy6Cd2Ir.

The calculation puts the energy at -4.5314 eV/atom. As for the formation energy from the elements: -2.5 eV per formula unit. The value obtained for the total magnetic moment is 0.00 Bohr magnetons per cell. The volume comes out at 264.7 Å³/f.u.

The structure belongs to space group P2_1/c (No. 14); the cell edges are 6.907, 7.361 and 12.409 Å and the angles 90.00°, 122.95° and 90.00°. The asymmetric unit holds Dy at (0.147, 0.005, 0.247), Dy at (0.215, 0.698, 0.040), Dy at (0.350, 0.186, 0.043), Cd at (0.296, 0.088, 0.751) and Ir at (0.500, 0.000, 0.500).



Density functional theory data (PBE) for a relaxed structure of Dy4CdIr.

The distance to the lowest polymorph of the same formula comes out at 8.169 kcal/mol of atoms. The calculation puts the energy at -4.8698 eV/atom. As for the formation energy from the elements: -1.0 eV per formula unit. The value obtained for the total magnetic moment is 0.00 Bohr magnetons per cell. The volume comes out at 198.4 Å³/f.u.

The structure belongs to space group I4_1md (No. 109); the cell edges are 9.517, 9.517 and 8.762 Å and the angles 90.00°, 90.00° and 90.00°. The asymmetric unit holds Dy at (0.000, 0.190, 0.000), Dy at (0.000, 0.207, 0.447), Cd at (0.000, 0.000, 0.719) and Ir at (0.000, 0.000, 0.227).



Density functional theory data (PBE) for a relaxed structure of Dy4CdIr3.

The calculation puts the energy at -6.4471 eV/atom. As for the formation energy from the elements: -5.7 eV per formula unit. The value obtained for the total magnetic moment is 0.00 Bohr magnetons per cell. The volume comes out at 170.9 Å³/f.u.

The structure belongs to space group R-3m (No. 166, hexagonal axes); the cell edges are 4.9386, 4.9386 and 24.2672 Å and the angles 90.00°, 90.00° and 120.00°. The asymmetric unit holds Dy at (0.0000, 0.0000, 0.1195), Dy at (0.0000, 0.0000, 0.3704), Cd at (0.0000, 0.0000, 0.5000), Ir at (0.0000, 0.0000, 0.0000) and Ir at (0.0000, 0.0000, 0.2478).



Density functional theory data (PBE) for a relaxed structure of LaDyCdIr.

The calculation puts the energy at -5.2907 eV/atom. As for the formation energy from the elements: -1.9 eV per formula unit. The value obtained for the total magnetic moment is 0.00 Bohr magnetons per cell. The volume comes out at 97.8 Å³/f.u.

The structure belongs to space group F-43m (No. 216); the cell edges are 7.314, 7.314 and 7.314 Å and the angles 90.00°, 90.00° and 90.00°. The asymmetric unit holds La at (0.000, 0.000, 0.000), Dy at (0.000, 0.000, 0.500), Cd at (0.250, 0.250, 0.750) and Ir at (0.250, 0.250, 0.250).



Density functional theory data (PBE) for a relaxed structure of DyLuCdIr.

The calculation puts the energy at -5.3046 eV/atom. As for the formation energy from the elements: -2.3 eV per formula unit. The value obtained for the total magnetic moment is 0.00 Bohr magnetons per cell. The volume comes out at 87.5 Å³/f.u.

The structure belongs to space group F-43m (No. 216); the cell edges are 7.047, 7.047 and 7.047 Å and the angles 90.00°, 90.00° and 90.00°. The asymmetric unit holds Dy at (0.000, 0.000, 0.000), Lu at (0.000, 0.000, 0.500), Cd at (0.250, 0.250, 0.250) and Ir at (0.250, 0.250, 0.750).



Density functional theory data (PBE) for a relaxed structure of DyMgCdIr.

The calculation puts the energy at -4.3663 eV/atom. As for the formation energy from the elements: -1.5 eV per formula unit. The value obtained for the total magnetic moment is 0.00 Bohr magnetons per cell. The volume comes out at 80.8 Å³/f.u.

The structure belongs to space group F-43m (No. 216); the cell edges are 6.863, 6.863 and 6.863 Å and the angles 90.00°, 90.00° and 90.00°. The asymmetric unit holds Dy at (0.000, 0.000, 0.000), Mg at (0.000, 0.000, 0.500), Cd at (0.250, 0.250, 0.250) and Ir at (0.250, 0.250, 0.750).



Density functional theory data (PBE) for a relaxed structure of NdDyCdIr.

The calculation puts the energy at -5.2611 eV/atom. As for the formation energy from the elements: -1.9 eV per formula unit. The value obtained for the total magnetic moment is 0.00 Bohr magnetons per cell. The volume comes out at 95.1 Å³/f.u.

The structure belongs to space group F-43m (No. 216); the cell edges are 7.246, 7.246 and 7.246 Å and the angles 90.00°, 90.00° and 90.00°. The asymmetric unit holds Nd at (0.000, 0.000, 0.000), Dy at (0.000, 0.000, 0.500), Cd at (0.250, 0.250, 0.250) and Ir at (0.250, 0.250, 0.750).